Entry 1:
Ba3Zn2RuO8: relaxed, PBE-GGA.

Cell: 5.7877 5.7877 7.6077 Å, 90.00 90.00 120.00°
Closest atoms and distances in Å follow each position.
Atoms (fractional coordinates):
Ba (0.0000, 0.0000, 0.0000)  12 O 3.07-3.35
Ba (0.3333, 0.6667, 0.6516)  1 O 2.46
Ba (0.6667, 0.3333, 0.3484)  1 O 2.46
Zn (0.3333, 0.6667, 0.2160)  4 O 1.83-2.02
Zn (0.6667, 0.3333, 0.7840)  4 O 1.83-2.02
Ru (0.0000, 0.0000, 0.5000)  6 O 1.97
O (0.1575, 0.3150, 0.3459)  1 Ru 1.97, 1 Zn 2.02
O (0.1575, 0.8425, 0.3459)  1 Ru 1.97, 1 Zn 2.02
O (0.3150, 0.1575, 0.6541)  1 Ru 1.97, 1 Zn 2.02
O (0.3333, 0.6667, 0.9749)  1 Zn 1.83
O (0.6667, 0.3333, 0.0251)  1 Zn 1.83
O (0.6850, 0.8425, 0.3459)  1 Ru 1.97, 1 Zn 2.02
O (0.8425, 0.1575, 0.6541)  1 Ru 1.97, 1 Zn 2.02
O (0.8425, 0.6850, 0.6541)  1 Ru 1.97, 1 Zn 2.02

## Properties
Fermi-level density of states: 12.68 states/eV per cell
crystal system: trigonal
E_tot: -81.746 eV for the cell shown
formation energy without anion corrections: -24.488 eV/f.u.
SG: P-3m1 (164)
total magnetization: 0.1842 μB per atom


Entry 2:
BaZnRu2O8: relaxed, PBE-GGA.

Cell: 5.3143 5.3143 7.8917 Å, 93.04 93.04 66.78°
Closest atoms and distances in Å follow each position.
Atoms (fractional coordinates):
Ba (0.0000, 0.0000, 0.0000)  6 O 2.76-2.81
Zn (0.0000, 0.0000, 0.5000)  6 O 2.05-2.13
Ru (0.3730, 0.3730, 0.7072)  4 O 1.77-1.81
Ru (0.6270, 0.6270, 0.2928)  4 O 1.77-1.81
O (0.2282, 0.7438, 0.6997)  1 Ru 1.81
O (0.2303, 0.2303, 0.5399)  1 Ru 1.77
O (0.2562, 0.7718, 0.3003)  1 Ru 1.81
O (0.3024, 0.3024, 0.9156)  1 Ru 1.80
O (0.6976, 0.6976, 0.0844)  1 Ru 1.80
O (0.7438, 0.2282, 0.6997)  1 Ru 1.81
O (0.7697, 0.7697, 0.4601)  1 Ru 1.77
O (0.7718, 0.2562, 0.3003)  1 Ru 1.81

## Properties
Fermi-level density of states: 0.46 states/eV per cell
crystal system: monoclinic
E_tot: -76.045 eV for the cell shown
formation energy without anion corrections: -14.631 eV/f.u.
SG: C2/m (12)
total magnetization: 0.3369 μB per atom


Entry 3:
BaZr2RuO8: relaxed, PBE-GGA.

Cell: 5.2202 5.2202 7.2552 Å, 98.05 98.05 78.63°
Closest atoms and distances in Å follow each position.
Atoms (fractional coordinates):
Ba (0.0000, 0.0000, 0.0000)  6 O 2.65-2.74
Zr (0.4515, 0.4515, 0.7700)  5 O 2.01-2.17
Zr (0.5485, 0.5485, 0.2300)  5 O 2.01-2.17
Ru (0.0000, 0.0000, 0.5000)  6 O 1.86-1.98
O (0.2083, 0.7809, 0.6893)  1 Ru 1.98, 1 Zr 2.03
O (0.2191, 0.7917, 0.3107)  1 Ru 1.98, 1 Zr 2.03
O (0.2340, 0.2340, 0.5588)  1 Ru 1.86
O (0.3387, 0.3387, 0.9951)  2 Zr 2.01-2.17
O (0.6613, 0.6613, 0.0049)  2 Zr 2.01-2.17
O (0.7660, 0.7660, 0.4412)  1 Ru 1.86
O (0.7809, 0.2083, 0.6893)  1 Ru 1.98, 1 Zr 2.03
O (0.7917, 0.2191, 0.3107)  1 Ru 1.98, 1 Zr 2.03

## Properties
Fermi-level density of states: 3.02 states/eV per cell
crystal system: monoclinic
E_tot: -94.971 eV for the cell shown
formation energy without anion corrections: -27.011 eV/f.u.
SG: C2/m (12)
total magnetization: 0.1703 μB per atom


Entry 4:
Ba2ZrRu3O12: relaxed, PBE-GGA.

Cell: 7.3341 7.3341 7.3341 Å, 58.89 58.89 58.89°
Closest atoms and distances in Å follow each position.
Atoms (fractional coordinates):
Ba (0.1430, 0.1430, 0.1430)  3 O 2.72
Ba (0.8570, 0.8570, 0.8570)  3 O 2.72
Zr (0.5000, 0.5000, 0.5000)  6 O 2.14
Ru (0.0000, 0.5000, 0.5000)  6 O 1.89-2.00
Ru (0.5000, 0.0000, 0.5000)  6 O 1.89-2.00
Ru (0.5000, 0.5000, 0.0000)  6 O 1.89-2.00
O (0.1437, 0.5927, 0.5927)  1 Ru 2.00, 1 Zr 2.14
O (0.1974, 0.1974, 0.5790)  2 Ru 1.89
O (0.1974, 0.5790, 0.1974)  2 Ru 1.89
O (0.4073, 0.4073, 0.8563)  1 Ru 2.00, 1 Zr 2.14
O (0.4073, 0.8563, 0.4073)  1 Ru 2.00, 1 Zr 2.14
O (0.4210, 0.8026, 0.8026)  2 Ru 1.89
O (0.5790, 0.1974, 0.1974)  2 Ru 1.89
O (0.5927, 0.1437, 0.5927)  1 Ru 2.00, 1 Zr 2.14
O (0.5927, 0.5927, 0.1437)  1 Ru 2.00, 1 Zr 2.14
O (0.8026, 0.4210, 0.8026)  2 Ru 1.89
O (0.8026, 0.8026, 0.4210)  2 Ru 1.89
O (0.8563, 0.4073, 0.4073)  1 Ru 2.00, 1 Zr 2.14

## Properties
Fermi-level density of states: 9.25 states/eV per cell
crystal system: trigonal
E_tot: -129.727 eV for the cell shown
formation energy without anion corrections: -30.007 eV/f.u.
SG: R-3m (166)
total magnetization: 0.0000 μB per atom


Entry 5:
Ba3ZrRu2O9: relaxed, PBE-GGA.

Cell: 5.8768 5.8768 14.4825 Å, 90.00 90.00 120.00°
Closest atoms and distances in Å follow each position.
Atoms (fractional coordinates):
Ba (0.0000, 0.0000, 0.2500)  12 O 2.94-2.97
Ba (0.0000, 0.0000, 0.7500)  12 O 2.94-2.97
Ba (0.3333, 0.6667, 0.0920)  12 O 2.91-3.03
Ba (0.3333, 0.6667, 0.4080)  12 O 2.91-3.03
Ba (0.6667, 0.3333, 0.5920)  12 O 2.91-3.03
Ba (0.6667, 0.3333, 0.9080)  12 O 2.91-3.03
Zr (0.0000, 0.0000, 0.0000)  6 O 2.11
Zr (0.0000, 0.0000, 0.5000)  6 O 2.11
Ru (0.3333, 0.6667, 0.6632)  6 O 2.02-2.03
Ru (0.3333, 0.6667, 0.8368)  6 O 2.02-2.03
Ru (0.6667, 0.3333, 0.1632)  6 O 2.02-2.03
Ru (0.6667, 0.3333, 0.3368)  6 O 2.02-2.03
O (0.0210, 0.5105, 0.7500)  2 Ru 2.03
O (0.1703, 0.3407, 0.5832)  1 Ru 2.02, 1 Zr 2.11
O (0.1703, 0.3407, 0.9168)  1 Ru 2.02, 1 Zr 2.11
O (0.1703, 0.8297, 0.5832)  1 Ru 2.02, 1 Zr 2.11
O (0.1703, 0.8297, 0.9168)  1 Ru 2.02, 1 Zr 2.11
O (0.3407, 0.1703, 0.0832)  1 Ru 2.02, 1 Zr 2.11
O (0.3407, 0.1703, 0.4168)  1 Ru 2.02, 1 Zr 2.11
O (0.4895, 0.5105, 0.7500)  2 Ru 2.03
O (0.4895, 0.9790, 0.7500)  2 Ru 2.03
O (0.5105, 0.0210, 0.2500)  2 Ru 2.03
O (0.5105, 0.4895, 0.2500)  2 Ru 2.03
O (0.6593, 0.8297, 0.5832)  1 Ru 2.02, 1 Zr 2.11
O (0.6593, 0.8297, 0.9168)  1 Ru 2.02, 1 Zr 2.11
O (0.8297, 0.1703, 0.0832)  1 Ru 2.02, 1 Zr 2.11
O (0.8297, 0.1703, 0.4168)  1 Ru 2.02, 1 Zr 2.11
O (0.8297, 0.6593, 0.0832)  1 Ru 2.02, 1 Zr 2.11
O (0.8297, 0.6593, 0.4168)  1 Ru 2.02, 1 Zr 2.11
O (0.9790, 0.4895, 0.2500)  2 Ru 2.03

## Properties
Fermi-level density of states: 13.38 states/eV per cell
crystal system: hexagonal
E_tot: -222.667 eV for the cell shown
formation energy without anion corrections: -33.841 eV/f.u.
SG: P6_3/mmc (194)
total magnetization: 0.1236 μB per atom


Entry 6:
BaZr2RuO: relaxed, PBE-GGA.

Cell: 4.4495 4.4495 5.1689 Å, 90.00 90.00 90.00°
Closest atoms and distances in Å follow each position.
Atoms (fractional coordinates):
Ba (0.0000, 0.0000, 0.0000)  4 Ru 3.15, 8 Zr 3.41
Zr (0.0000, 0.5000, 0.5000)  2 O 2.22
Zr (0.5000, 0.0000, 0.5000)  2 O 2.22
Ru (0.5000, 0.5000, 0.0000)  2 O 2.58
O (0.5000, 0.5000, 0.5000)  4 Zr 2.22

## Properties
Fermi-level density of states: 5.48 states/eV per cell
crystal system: tetragonal
E_tot: -34.233 eV for the cell shown
formation energy without anion corrections: -0.979 eV/f.u.
SG: P4/mmm (123)
total magnetization: 0.0000 μB per atom